Here is a relaxed NaMgF2 crystal from Alexandria. Energies are from PBE.

Values from the calculation:
Space group: Fm-3m (225)
V (Å³ per atom): 13.7
Energy relative to the elements, uncorrected (eV per atom): -1.97
Uncorrected energy (eV/atom): -3.64

Cell and atoms, written as POSCAR:
```
NaMgF2
1.0
0.000 3.011 3.011
3.011 0.000 3.011
3.011 3.011 0.000
Na Mg F
1 1 2
direct
0.000 0.000 0.000
0.500 0.500 0.500
0.250 0.250 0.250
0.750 0.750 0.750
```

=====

Here is a relaxed Mg3ZrGe crystal from Alexandria. Energies are from PBE.

Values from the calculation:
Formation energy (eV per formula unit): 6.75
Space group: Pm-3m (221)
V (Å³ per atom): 33.5
Uncorrected energy (eV/atom): -2.24

Cell and atoms, written as POSCAR:
```
Mg3ZrGe
1.0
5.511 0.000 0.000
0.000 5.511 0.000
0.000 0.000 5.511
Mg Zr Ge
3 1 1
direct
0.000 0.000 0.500
0.000 0.500 0.000
0.500 0.000 0.000
0.000 0.000 0.000
0.500 0.500 0.500
```

=====

Here is a relaxed PaHg3Cl6 crystal from Alexandria. Energies are from PBE.

Values from the calculation:
Space group: P-31m (162)
V (Å³ per atom): 30.4
Energy relative to the elements, uncorrected (eV per atom): -1.12
Uncorrected energy (eV/atom): -3.27

Cell and atoms, written as POSCAR:
```
PaHg3Cl6
1.0
6.267 0.000 0.000
-3.134 5.428 0.000
0.000 0.000 8.926
Pa Hg Cl
1 3 6
direct
0.000 0.000 0.000
0.000 0.000 0.500
0.333 0.667 0.500
0.667 0.333 0.500
0.000 0.324 0.826
0.000 0.676 0.174
0.324 0.000 0.826
0.324 0.324 0.174
0.676 0.000 0.174
0.676 0.676 0.826
```

=====

Here is a relaxed POsIN2 crystal from Alexandria. Energies are from PBE.

Values from the calculation:
Space group: P4/mmm (123)
V (Å³ per atom): 18.6
Energy relative to the elements, uncorrected (eV per atom): 1.10
Uncorrected energy (eV/atom): -5.87

Cell and atoms, written as POSCAR:
```
POsIN2
1.0
3.801 0.000 0.000
0.000 3.801 0.000
0.000 0.000 6.438
P Os I N
1 1 1 2
direct
0.000 0.000 0.000
0.500 0.500 0.500
0.500 0.500 0.000
0.000 0.500 0.500
0.500 0.000 0.500
```

=====

Here is a relaxed BiP3Ir crystal from Alexandria. Energies are from PBE.

Values from the calculation:
Formation energy (eV per formula unit): 2.83
Space group: Pm-3m (221)
V (Å³ per atom): 20.7
Uncorrected energy (eV/atom): -5.23

Cell and atoms, written as POSCAR:
```
BiP3Ir
1.0
4.696 0.000 0.000
0.000 4.696 0.000
0.000 0.000 4.696
Bi P Ir
1 3 1
direct
0.000 0.000 0.000
0.000 0.500 0.500
0.500 0.000 0.500
0.500 0.500 0.000
0.500 0.500 0.500
```

=====

Here is a relaxed LaGa3H12 crystal from Alexandria. Energies are from PBE.

Values from the calculation:
Space group: P6_3/m (176)
V (Å³ per atom): 12.7
Uncorrected energy (eV/atom): -3.47

Cell and atoms, written as POSCAR:
```
LaGa3H12
1.0
8.866 0.000 0.000
-4.433 7.678 0.000
0.000 0.000 5.985
La Ga H
2 6 24
direct
0.333 0.667 0.250
0.667 0.333 0.750
0.092 0.719 0.750
0.281 0.373 0.750
0.373 0.092 0.250
0.627 0.908 0.750
0.719 0.627 0.250
0.908 0.281 0.250
0.002 0.174 0.250
0.033 0.492 0.250
0.171 0.998 0.250
0.174 0.171 0.750
0.218 0.757 0.537
0.218 0.757 0.963
0.243 0.461 0.537
0.243 0.461 0.963
0.459 0.967 0.250
0.461 0.218 0.037
0.461 0.218 0.463
0.492 0.459 0.750
0.508 0.541 0.250
0.539 0.782 0.537
0.539 0.782 0.963
0.541 0.033 0.750
0.757 0.539 0.037
0.757 0.539 0.463
0.782 0.243 0.037
0.782 0.243 0.463
0.826 0.829 0.250
0.829 0.002 0.750
0.967 0.508 0.750
0.998 0.826 0.750
```

=====

Here is a relaxed TmU2Ni9 crystal from Alexandria. Energies are from PBE.

Values from the calculation:
Formation energy (eV per formula unit): -3.88
Space group: R-3m (166)
V (Å³ per atom): 13.9
Uncorrected energy (eV/atom): -6.91

Cell and atoms, written as POSCAR:
```
TmU2Ni9
1.0
2.427 1.401 8.174
-2.427 1.401 8.174
0.000 -2.802 8.174
Tm U Ni
1 2 9
direct
0.000 0.000 0.000
0.142 0.142 0.142
0.858 0.858 0.858
0.083 0.583 0.583
0.333 0.333 0.333
0.417 0.417 0.917
0.417 0.917 0.417
0.500 0.500 0.500
0.583 0.083 0.583
0.583 0.583 0.083
0.667 0.667 0.667
0.917 0.417 0.417
```

=====

Here is a relaxed Sr2HgPdC crystal from Alexandria. Energies are from PBE.

Values from the calculation:
Formation energy (eV per formula unit): -0.88
Space group: P4/mmm (123)
V (Å³ per atom): 24.8
Uncorrected energy (eV/atom): -3.79

Cell and atoms, written as POSCAR:
```
Sr2HgPdC
1.0
5.599 0.000 0.000
0.000 5.599 0.000
0.000 0.000 3.954
Sr Hg Pd C
2 1 1 1
direct
0.000 0.500 0.000
0.500 0.000 0.000
0.000 0.000 0.500
0.500 0.500 0.500
0.500 0.500 0.000
```

=====

Here is a relaxed WAuIN2 crystal from Alexandria. Energies are from PBE.

Values from the calculation:
Space group: P4/mmm (123)
V (Å³ per atom): 23.2
Energy relative to the elements, uncorrected (eV per atom): 2.56
Uncorrected energy (eV/atom): -4.33

Cell and atoms, written as POSCAR:
```
WAuIN2
1.0
3.955 0.000 0.000
0.000 3.955 0.000
0.000 0.000 7.431
W Au I N
1 1 1 2
direct
0.000 0.000 0.000
0.500 0.500 0.500
0.500 0.500 0.000
0.000 0.500 0.500
0.500 0.000 0.500
```

=====

Here is a relaxed Er2MgBi crystal from Alexandria. Energies are from PBE.

Values from the calculation:
Formation energy (eV per formula unit): -1.30
Space group: P4/mmm (123)
V (Å³ per atom): 27.2
Uncorrected energy (eV/atom): -3.97

Cell and atoms, written as POSCAR:
```
Er2MgBi
1.0
5.069 0.000 0.000
0.000 5.069 0.000
0.000 0.000 4.235
Er Mg Bi
2 1 1
direct
0.000 0.500 0.000
0.500 0.000 0.000
0.000 0.000 0.500
0.500 0.500 0.500
```

=====

Here is a relaxed TiSF2 crystal from Alexandria. Energies are from PBE.

Values from the calculation:
Space group: P1 (1)
V (Å³ per atom): 18.6
Energy relative to the elements, uncorrected (eV per atom): -2.37
Uncorrected energy (eV/atom): -6.31

Cell and atoms, written as POSCAR:
```
TiSF2
1.0
2.736 0.000 0.000
-0.983 5.197 0.000
-0.219 -2.717 5.238
Ti S F
1 1 2
direct
0.000 0.000 0.000
0.229 0.665 0.667
0.492 0.965 0.232
0.594 0.292 0.019
```

=====

Here is a relaxed Na3UO4 crystal from Alexandria. Energies are from PBE.

Values from the calculation:
Space group: Pmmn (59)
V (Å³ per atom): 15.9
Energy relative to the elements, uncorrected (eV per atom): -2.27
Uncorrected energy (eV/atom): -6.66

Cell and atoms, written as POSCAR:
```
Na3UO4
1.0
4.552 0.000 0.000
0.000 7.799 0.000
0.000 0.000 7.149
Na U O
6 2 8
direct
0.250 0.013 0.152
0.250 0.487 0.152
0.250 0.750 0.701
0.750 0.250 0.299
0.750 0.513 0.848
0.750 0.987 0.848
0.250 0.250 0.647
0.750 0.750 0.353
0.250 0.043 0.823
0.250 0.250 0.360
0.250 0.457 0.823
0.250 0.750 0.358
0.750 0.250 0.642
0.750 0.543 0.177
0.750 0.750 0.640
0.750 0.957 0.177
```

=====

Here is a relaxed Rb2Fe2Br7 crystal from Alexandria. Energies are from PBE.

Values from the calculation:
Space group: C2/m (12)
V (Å³ per atom): 44.1
Energy relative to the elements, uncorrected (eV per atom): -0.94
Uncorrected energy (eV/atom): -3.72

Cell and atoms, written as POSCAR:
```
Rb2Fe2Br7
1.0
5.335 -6.672 0.000
5.335 6.672 0.000
-1.079 0.000 6.818
Rb Fe Br
2 2 7
direct
0.207 0.793 0.000
0.793 0.207 0.000
0.281 0.281 0.570
0.719 0.719 0.430
0.107 0.405 0.751
0.143 0.143 0.265
0.405 0.107 0.751
0.500 0.500 0.500
0.595 0.893 0.249
0.857 0.857 0.735
0.893 0.595 0.249
```

=====

Here is a relaxed Er2Ga4Hg crystal from Alexandria. Energies are from PBE.

Values from the calculation:
Formation energy (eV per formula unit): -1.14
Space group: I4/mmm (139)
V (Å³ per atom): 23.4
Uncorrected energy (eV/atom): -3.24

Cell and atoms, written as POSCAR:
```
Er2Ga4Hg
1.0
-2.762 2.762 5.357
2.762 -2.762 5.357
2.762 2.762 -5.357
Er Ga Hg
2 4 1
direct
0.156 0.156 0.000
0.844 0.844 0.000
0.000 0.500 0.500
0.250 0.750 0.500
0.500 0.000 0.500
0.750 0.250 0.500
0.500 0.500 0.000
```

=====

Here is a relaxed Nd2Zn2Ni15 crystal from Alexandria. Energies are from PBE.

Values from the calculation:
Formation energy (eV per formula unit): -3.97
Space group: R-3m (166)
V (Å³ per atom): 13.2
Uncorrected energy (eV/atom): -5.41

Cell and atoms, written as POSCAR:
```
Nd2Zn2Ni15
1.0
4.201 2.425 4.093
-4.201 2.425 4.093
0.000 -4.851 4.093
Nd Zn Ni
2 2 15
direct
0.154 0.154 0.154
0.846 0.846 0.846
0.401 0.401 0.401
0.599 0.599 0.599
0.000 0.500 0.500
0.157 0.157 0.653
0.157 0.653 0.157
0.205 0.500 0.795
0.205 0.795 0.500
0.347 0.843 0.843
0.500 0.000 0.500
0.500 0.205 0.795
0.500 0.500 0.000
0.500 0.795 0.205
0.653 0.157 0.157
0.795 0.205 0.500
0.795 0.500 0.205
0.843 0.347 0.843
0.843 0.843 0.347
```

=====

Here is a relaxed MnTlIn2S4 crystal from Alexandria. Energies are from PBE.

Values from the calculation:
Space group: Cmcm (63)
V (Å³ per atom): 24.2
Energy relative to the elements, uncorrected (eV per atom): -0.45
Uncorrected energy (eV/atom): -4.64

Cell and atoms, written as POSCAR:
```
MnTlIn2S4
1.0
1.937 -6.854 0.000
1.937 6.854 0.000
0.000 0.000 14.575
Mn Tl In S
2 2 4 8
direct
0.170 0.830 0.750
0.830 0.170 0.250
0.108 0.892 0.250
0.892 0.108 0.750
0.372 0.628 0.051
0.372 0.628 0.449
0.628 0.372 0.551
0.628 0.372 0.949
0.000 0.000 0.000
0.000 0.000 0.500
0.250 0.750 0.607
0.250 0.750 0.893
0.432 0.568 0.250
0.568 0.432 0.750
0.750 0.250 0.107
0.750 0.250 0.393
```

=====

Here is a relaxed TaAl2W crystal from Alexandria. Energies are from PBE.

Values from the calculation:
Formation energy (eV per formula unit): -0.50
Space group: Pmmm (47)
V (Å³ per atom): 16.1
Uncorrected energy (eV/atom): -8.20

Cell and atoms, written as POSCAR:
```
TaAl2W
1.0
3.448 0.000 0.000
0.000 4.294 0.000
0.000 0.000 4.346
Ta Al W
1 2 1
direct
0.000 0.000 0.000
0.000 0.500 0.500
0.500 0.500 0.000
0.500 0.000 0.500
```

=====

Here is a relaxed LaPm4Tm7 crystal from Alexandria. Energies are from PBE.

Values from the calculation:
Formation energy (eV per formula unit): 3.12
Space group: C2/m (12)
V (Å³ per atom): 33.4
Uncorrected energy (eV/atom): -4.34

Cell and atoms, written as POSCAR:
```
LaPm4Tm7
1.0
6.075 -2.940 0.000
6.075 2.940 0.000
-5.939 0.000 11.208
La Pm Tm
1 4 7
direct
0.000 0.000 0.000
0.234 0.234 0.673
0.367 0.367 0.223
0.633 0.633 0.777
0.766 0.766 0.327
0.065 0.065 0.324
0.211 0.211 0.923
0.366 0.366 0.501
0.500 0.500 0.000
0.634 0.634 0.499
0.789 0.789 0.077
0.935 0.935 0.676
```

=====

Here is a relaxed YAl crystal from Alexandria. Energies are from PBE.

Values from the calculation:
Formation energy (eV per formula unit): -0.75
Space group: Pbcm (57)
V (Å³ per atom): 24.7
Uncorrected energy (eV/atom): -5.48

Cell and atoms, written as POSCAR:
```
YAl
1.0
10.186 0.000 0.000
0.000 9.389 0.000
0.000 0.000 6.189
Y Al
12 12
direct
0.118 0.250 0.000
0.118 0.250 0.500
0.196 0.637 0.250
0.196 0.863 0.750
0.380 0.024 0.250
0.380 0.476 0.750
0.620 0.524 0.250
0.620 0.976 0.750
0.804 0.137 0.250
0.804 0.363 0.750
0.882 0.750 0.000
0.882 0.750 0.500
0.081 0.547 0.750
0.081 0.953 0.250
0.362 0.135 0.750
0.362 0.365 0.250
0.445 0.750 0.000
0.445 0.750 0.500
0.555 0.250 0.000
0.555 0.250 0.500
0.638 0.635 0.750
0.638 0.865 0.250
0.919 0.047 0.750
0.919 0.453 0.250
```

=====

Here is a relaxed Mn2SbAs crystal from Alexandria. Energies are from PBE.

Values from the calculation:
Space group: P4mm (99)
V (Å³ per atom): 17.9
Energy relative to the elements, uncorrected (eV per atom): 0.01
Uncorrected energy (eV/atom): -6.77

Cell and atoms, written as POSCAR:
```
Mn2SbAs
1.0
3.321 0.000 0.000
0.000 3.321 0.000
0.000 0.000 6.495
Mn Sb As
2 1 1
direct
0.000 0.000 0.000
0.500 0.500 0.232
0.000 0.000 0.434
0.500 0.500 0.855
```